--- one ---
Pr2DyS4, relaxed, DFT PBE-GGA; space-group type = No. 63; size of the total moment = 0.000 μB per atom
1.0
1.944 -6.783 0.000
1.944 6.783 0.000
0.000 0.000 13.491
Pr Dy S
4 2 8
Direct
0.129 0.871 0.573
0.129 0.871 0.927
0.871 0.129 0.073
0.871 0.129 0.427
0.372 0.628 0.750
0.628 0.372 0.250
0.016 0.984 0.750
0.219 0.781 0.126
0.219 0.781 0.374
0.500 0.500 0.000
0.500 0.500 0.500
0.781 0.219 0.626
0.781 0.219 0.874
0.984 0.016 0.250



--- two ---
Pr2DyS4, relaxed, DFT PBE-GGA; space-group type = No. 55; size of the total moment = 0.000 μB per atom
1.0
7.287 0.000 0.000
0.000 11.446 0.000
0.000 0.000 4.151
Pr Dy S
4 2 8
Direct
0.100 0.185 0.000
0.400 0.685 0.000
0.600 0.315 0.000
0.900 0.815 0.000
0.000 0.500 0.500
0.500 0.000 0.500
0.130 0.719 0.500
0.241 0.449 0.000
0.259 0.949 0.000
0.370 0.219 0.500
0.630 0.781 0.500
0.741 0.051 0.000
0.759 0.551 0.000
0.870 0.281 0.500



Each structure's energy above the most stable one, in kJ/mol of atoms: one 5.1; two 0.0.